Record 1
# CsZnIrPt2, PBEsol geometry, DFT SCAN
# Formation energy: 1.01 eV/atom
# VASP energy: -51.554 eV per atom
data_CsZnIrPt2
_cell_length_a 4.7954
_cell_length_b 4.7954
_cell_length_c 6.3805
_cell_angle_alpha 90.00
_cell_angle_beta 90.00
_cell_angle_gamma 90.00
_symmetry_space_group_name_H-M 'P 1'
_symmetry_Int_Tables_number 1
_symmetry_space_group_name_Hall 'P 1'
loop_
_atom_site_label
_atom_site_type_symbol
_atom_site_fract_x
_atom_site_fract_y
_atom_site_fract_z
_atom_site_occupancy
Cs1 Cs 0.0000 0.0000 0.0000 1
Zn1 Zn 0.5000 0.5000 0.0000 1
Ir1 Ir 0.0000 0.0000 0.5000 1
Pt1 Pt 0.0000 0.5000 0.5000 1
Pt2 Pt 0.5000 0.0000 0.5000 1

Record 2
# CsRbZr2Ir, PBEsol geometry, DFT SCAN
# Formation energy: 0.39 eV/atom
# VASP energy: -37.817 eV per atom
data_CsRbZr2Ir
_cell_length_a 5.0516
_cell_length_b 5.0516
_cell_length_c 6.8182
_cell_angle_alpha 90.00
_cell_angle_beta 90.00
_cell_angle_gamma 90.00
_symmetry_space_group_name_H-M 'P 1'
_symmetry_Int_Tables_number 1
_symmetry_space_group_name_Hall 'P 1'
loop_
_atom_site_label
_atom_site_type_symbol
_atom_site_fract_x
_atom_site_fract_y
_atom_site_fract_z
_atom_site_occupancy
Cs1 Cs 0.0000 0.0000 0.0000 1
Rb1 Rb 0.5000 0.5000 0.0000 1
Zr1 Zr 0.0000 0.5000 0.5000 1
Zr2 Zr 0.5000 0.0000 0.5000 1
Ir1 Ir 0.5000 0.5000 0.5000 1

Record 3
# CsSb2Ir, PBEsol geometry, DFT SCAN
# Energy relative to the elements, uncorrected: -111 meV/atom
# VASP energy: -45.969 eV per atom
data_CsSb2Ir
_cell_length_a 7.1640
_cell_length_b 7.1640
_cell_length_c 7.1640
_cell_angle_alpha 111.39
_cell_angle_beta 111.39
_cell_angle_gamma 105.70
_symmetry_space_group_name_H-M 'P 1'
_symmetry_Int_Tables_number 1
_symmetry_space_group_name_Hall 'P 1'
loop_
_atom_site_label
_atom_site_type_symbol
_atom_site_fract_x
_atom_site_fract_y
_atom_site_fract_z
_atom_site_occupancy
Cs1 Cs 0.0000 0.0000 0.0000 1
Cs2 Cs 0.7500 0.2500 0.5000 1
Sb1 Sb 0.2445 0.6250 0.1195 1
Sb2 Sb 0.3750 0.4945 0.6195 1
Sb3 Sb 0.5055 0.1250 0.8805 1
Sb4 Sb 0.8750 0.7555 0.3805 1
Ir1 Ir 0.2500 0.7500 0.5000 1
Ir2 Ir 0.5000 0.5000 0.0000 1